1.
This record from OQMD via LeMat-Bulk describes a relaxed structure of FeSe. The functional is GGA-PBE.

Unit cell a=3.1160 b=3.1160 c=7.1207 alpha=90.00 beta=90.00 gamma=90.00
Atoms (fractional coordinates):
1 Fe 0.0000 0.5000 0.0000
2 Fe 0.5000 0.0000 0.5000
3 Se 0.0000 0.0000 0.2500
4 Se 0.0000 0.0000 0.7500

Calculated values
* spin magnetization: 1.930 μB per formula unit
* theoretical density: 6.48 g/cm³
* calculated total energy: -5.67 eV/atom
* symmetry: P4_2/mmc

2.
This record from OQMD via LeMat-Bulk describes a relaxed structure of GdHgSO. The functional is GGA-PBE.

Unit cell a=6.9722 b=7.1099 c=13.3781 alpha=90.00 beta=90.00 gamma=90.00
Atoms (fractional coordinates):
1 Gd 0.1059 0.0114 0.2331
2 Gd 0.1059 0.4886 0.7331
3 Gd 0.3941 0.5114 0.2331
4 Gd 0.3941 0.9886 0.7331
5 Gd 0.6059 0.0114 0.2669
6 Gd 0.6059 0.4886 0.7669
7 Gd 0.8941 0.5114 0.2669
8 Gd 0.8941 0.9886 0.7669
9 Hg 0.0526 0.2209 0.5416
10 Hg 0.0526 0.2791 0.0415
11 Hg 0.4474 0.7209 0.5416
12 Hg 0.4474 0.7791 0.0415
13 Hg 0.5526 0.2209 0.9584
14 Hg 0.5526 0.2791 0.4584
15 Hg 0.9474 0.7209 0.9584
16 Hg 0.9474 0.7791 0.4584
17 S 0.2185 0.0116 0.9195
18 S 0.2185 0.4884 0.4195
19 S 0.2815 0.5116 0.9195
20 S 0.2815 0.9884 0.4195
21 S 0.7185 0.0116 0.5805
22 S 0.7185 0.4884 0.0805
23 S 0.7815 0.5116 0.5805
24 S 0.7815 0.9884 0.0805
25 O 0.1369 0.6909 0.2142
26 O 0.1369 0.8091 0.7143
27 O 0.3631 0.1909 0.2142
28 O 0.3631 0.3091 0.7143
29 O 0.6369 0.6909 0.2858
30 O 0.6369 0.8091 0.7857
31 O 0.8631 0.1909 0.2858
32 O 0.8631 0.3091 0.7857

Calculated values
* energy relative to the lowest polymorph listed for this composition: 27.9 kJ/mol of atoms
* spin magnetization: 0.001 μB per formula unit
* theoretical density: 8.13 g/cm³
* symmetry: Pbca

3.
This record from OQMD via LeMat-Bulk describes a relaxed structure of Lu4CdGaN2. The functional is GGA-PBE.

Unit cell a=3.3952 b=3.3952 c=15.0053 alpha=90.00 beta=90.00 gamma=120.00
Atoms (fractional coordinates):
1 Lu 0.0000 0.0000 0.1547
2 Lu 0.0000 0.0000 0.8453
3 Lu 0.3333 0.6667 0.3300
4 Lu 0.3333 0.6667 0.6700
5 Cd 0.0000 0.0000 0.5000
6 Ga 0.3333 0.6667 0.0000
7 N 0.6667 0.3333 0.2423
8 N 0.6667 0.3333 0.7577

Calculated values
* spin magnetization: 0.259 μB per formula unit
* theoretical density: 10.09 g/cm³
* calculated total energy: -5.88 eV/atom
* symmetry: P-6m2

4.
This record from OQMD via LeMat-Bulk describes a relaxed structure of SmDyPb2. The functional is GGA-PBE.

Unit cell a=4.4596 b=6.3063 c=6.3063 alpha=42.41 beta=90.00 gamma=90.00
Atoms (fractional coordinates):
1 Sm 0.0000 0.0000 0.0000
2 Dy 0.5000 0.7393 0.7393
3 Pb 0.0000 0.2699 0.2699
4 Pb 0.5000 0.4692 0.4692

Calculated values
* spin magnetization: 0.011 μB per formula unit
* theoretical density: 10.10 g/cm³
* calculated total energy: -4.69 eV/atom
* symmetry: Amm2

5.
This record from OQMD via LeMat-Bulk describes a relaxed structure of NiSnW4N2. The functional is GGA-PBE.

Unit cell a=2.8815 b=2.8815 c=14.7780 alpha=90.00 beta=90.00 gamma=120.00
Atoms (fractional coordinates):
1 Ni 0.0000 0.0000 0.0000
2 Sn 0.6667 0.3333 0.5000
3 W 0.0000 0.0000 0.3352
4 W 0.0000 0.0000 0.6648
5 W 0.6667 0.3333 0.1420
6 W 0.6667 0.3333 0.8580
7 N 0.3333 0.6667 0.2399
8 N 0.3333 0.6667 0.7601

Calculated values
* spin magnetization: 0.004 μB per formula unit
* theoretical density: 14.70 g/cm³
* calculated total energy: -9.43 eV/atom
* symmetry: P-6m2

6.
This record from OQMD via LeMat-Bulk describes a relaxed structure of YTmGa2Fe4. The functional is GGA-PBE.

Unit cell a=4.1832 b=4.1832 c=9.2397 alpha=90.00 beta=90.00 gamma=120.00
Atoms (fractional coordinates):
1 Y 0.0000 0.0000 0.0000
2 Tm 0.6667 0.3333 0.5000
3 Ga 0.3333 0.6667 0.2523
4 Ga 0.3333 0.6667 0.7477
5 Fe 0.0000 0.0000 0.2978
6 Fe 0.0000 0.0000 0.7022
7 Fe 0.6667 0.3333 0.2111
8 Fe 0.6667 0.3333 0.7889

Calculated values
* spin magnetization: 7.305 μB per formula unit
* theoretical density: 7.36 g/cm³
* calculated total energy: -6.46 eV/atom
* symmetry: P-6m2

7.
This record from OQMD via LeMat-Bulk describes a relaxed structure of TbHoSi2Pd. The functional is GGA-PBE.

Unit cell a=5.6522 b=5.6522 c=10.1153 alpha=115.71 beta=115.71 gamma=44.26
Atoms (fractional coordinates):
1 Tb 0.1863 0.1863 0.1063
2 Tb 0.8137 0.8137 0.8937
3 Ho 0.0024 0.0024 0.3240
4 Ho 0.9976 0.9976 0.6760
5 Si 0.3672 0.3672 0.4350
6 Si 0.4815 0.4815 0.1140
7 Si 0.5185 0.5185 0.8860
8 Si 0.6328 0.6328 0.5650
9 Pd 0.2749 0.2749 0.6403
10 Pd 0.7251 0.7251 0.3597

Calculated values
* energy relative to the lowest polymorph listed for this composition: 0.0 kJ/mol of atoms
* spin magnetization: 0.411 μB per formula unit
* theoretical density: 8.11 g/cm³
* symmetry: C2/m

8.
This record from OQMD via LeMat-Bulk describes a relaxed structure of AlOs. The functional is GGA-PBE.

Unit cell a=3.8842 b=3.8842 c=4.8488 alpha=90.00 beta=90.00 gamma=120.00
Atoms (fractional coordinates):
1 Al 0.0000 0.0000 0.0000
2 Al 0.0000 0.0000 0.5000
3 Os 0.3333 0.6667 0.2500
4 Os 0.6667 0.3333 0.7500

Calculated values
* spin magnetization: 0.006 μB per formula unit
* theoretical density: 11.39 g/cm³
* calculated total energy: -6.98 eV/atom
* symmetry: P6_3/mmc

9.
This record from OQMD via LeMat-Bulk describes a relaxed structure of DyYGa4Pt2. The functional is GGA-PBE.

Unit cell a=6.7021 b=5.5415 c=5.5415 alpha=46.45 beta=90.00 gamma=90.00
Atoms (fractional coordinates):
1 Dy 0.0000 0.0000 0.0000
2 Y 0.5000 0.8322 0.8322
3 Ga 0.1973 0.2856 0.2856
4 Ga 0.3024 0.5464 0.5464
5 Ga 0.6976 0.5464 0.5464
6 Ga 0.8027 0.2856 0.2856
7 Pt 0.0000 0.7116 0.7116
8 Pt 0.5000 0.1206 0.1206

Calculated values
* spin magnetization: 0.001 μB per formula unit
* theoretical density: 10.25 g/cm³
* calculated total energy: -5.34 eV/atom
* symmetry: Amm2

10.
This record from OQMD via LeMat-Bulk describes a relaxed structure of Sr2Nd2O5. The functional is GGA-PBE.

Unit cell a=4.5073 b=4.5073 c=7.7207 alpha=90.00 beta=90.00 gamma=90.00
Atoms (fractional coordinates):
1 Sr 0.0000 0.0000 0.2158
2 Sr 0.0000 0.0000 0.7842
3 Nd 0.5000 0.5000 0.0000
4 Nd 0.5000 0.5000 0.5000
5 O 0.0000 0.0000 0.5000
6 O 0.0000 0.5000 0.1809
7 O 0.0000 0.5000 0.8191
8 O 0.5000 0.0000 0.1809
9 O 0.5000 0.0000 0.8191

Calculated values
* energy relative to the lowest polymorph listed for this composition: 60.1 kJ/mol of atoms
* spin magnetization: 0.002 μB per formula unit
* theoretical density: 5.76 g/cm³
* symmetry: P4/mmm

11.
This record from OQMD via LeMat-Bulk describes a relaxed structure of ZrBeIn. The functional is GGA-PBE.

Unit cell a=4.5721 b=4.5721 c=4.5721 alpha=60.00 beta=60.00 gamma=60.00
Atoms (fractional coordinates):
1 Zr 0.0000 0.0000 0.0000
2 Be 0.7500 0.7500 0.7500
3 In 0.2500 0.2500 0.2500

Calculated values
* energy relative to the lowest polymorph listed for this composition: 15.0 kJ/mol of atoms
* spin magnetization: 0.004 μB per formula unit
* theoretical density: 5.28 g/cm³
* symmetry: F-43m

12.
This record from OQMD via LeMat-Bulk describes a relaxed structure of LiZrFeSb. The functional is GGA-PBE.

Unit cell a=4.6689 b=4.6689 c=4.6689 alpha=60.00 beta=60.00 gamma=60.00
Atoms (fractional coordinates):
1 Li 0.0000 0.0000 0.0000
2 Zr 0.5000 0.5000 0.5000
3 Fe 0.7500 0.7500 0.7500
4 Sb 0.2500 0.2500 0.2500

Calculated values
* energy relative to the lowest polymorph listed for this composition: 28.8 kJ/mol of atoms
* spin magnetization: 1.614 μB per formula unit
* theoretical density: 6.36 g/cm³
* symmetry: F-43m

13.
This record from OQMD via LeMat-Bulk describes a relaxed structure of AlFe2C. The functional is GGA-PBE.

Unit cell a=5.1747 b=6.3521 c=4.6822 alpha=90.00 beta=90.00 gamma=90.00
Atoms (fractional coordinates):
1 Al 0.0181 0.2500 0.1277
2 Al 0.4819 0.7500 0.6277
3 Al 0.5181 0.2500 0.3723
4 Al 0.9819 0.7500 0.8723
5 Fe 0.1770 0.0564 0.6514
6 Fe 0.1770 0.4436 0.6514
7 Fe 0.3230 0.5564 0.1514
8 Fe 0.3230 0.9436 0.1514
9 Fe 0.6770 0.0564 0.8486
10 Fe 0.6770 0.4436 0.8486
11 Fe 0.8230 0.5564 0.3486
12 Fe 0.8230 0.9436 0.3486
13 C 0.1228 0.7500 0.4229
14 C 0.3772 0.2500 0.9229
15 C 0.6228 0.7500 0.0771
16 C 0.8772 0.2500 0.5771

Calculated values
* spin magnetization: 2.056 μB per formula unit
* theoretical density: 6.50 g/cm³
* calculated total energy: -7.40 eV/atom
* symmetry: Pnma

14.
This record from OQMD via LeMat-Bulk describes a relaxed structure of TbLuAlTe3. The functional is GGA-PBE.

Unit cell a=7.8720 b=7.8720 c=10.4240 alpha=90.00 beta=90.00 gamma=150.04
Atoms (fractional coordinates):
1 Tb 0.2166 0.7834 0.7500
2 Tb 0.7834 0.2166 0.2500
3 Lu 0.0000 0.0000 0.0000
4 Lu 0.0000 0.0000 0.5000
5 Al 0.4773 0.5227 0.2500
6 Al 0.5227 0.4773 0.7500
7 Te 0.1205 0.8795 0.2500
8 Te 0.3494 0.6506 0.0434
9 Te 0.3494 0.6506 0.4566
10 Te 0.6506 0.3494 0.5434
11 Te 0.6506 0.3494 0.9566
12 Te 0.8795 0.1205 0.7500

Calculated values
* spin magnetization: 0.003 μB per formula unit
* theoretical density: 7.66 g/cm³
* calculated total energy: -4.58 eV/atom
* symmetry: Cmcm

15.
This record from OQMD via LeMat-Bulk describes a relaxed structure of Gd2ScAl3CuGe2. The functional is GGA-PBE.

Unit cell a=4.1414 b=6.9380 c=6.9380 alpha=119.51 beta=90.00 gamma=90.00
Atoms (fractional coordinates):
1 Gd 0.0000 0.2018 0.7982
2 Gd 0.0000 0.7982 0.2018
3 Sc 0.0000 0.6051 0.6051
4 Al 0.5000 0.2068 0.4382
5 Al 0.5000 0.4382 0.2068
6 Al 0.5000 0.9717 0.9717
7 Cu 0.0000 0.2171 0.2171
8 Ge 0.5000 0.5409 0.8589
9 Ge 0.5000 0.8589 0.5409

Calculated values
* spin magnetization: 0.000 μB per formula unit
* theoretical density: 6.21 g/cm³
* calculated total energy: -5.07 eV/atom
* symmetry: Amm2

16.
This record from OQMD via LeMat-Bulk describes a relaxed structure of HfPPbO. The functional is GGA-PBE.

Unit cell a=3.9160 b=8.2260 c=6.1441 alpha=90.00 beta=90.00 gamma=90.00
Atoms (fractional coordinates):
1 Hf 0.0000 0.1453 0.0000
2 Hf 0.0000 0.8547 0.5000
3 P 0.5000 0.3350 0.9973
4 P 0.5000 0.6650 0.4973
5 Pb 0.5000 0.3294 0.5058
6 Pb 0.5000 0.6706 0.0058
7 O 0.0000 0.0016 0.2516
8 O 0.0000 0.9984 0.7516

Calculated values
* energy relative to the lowest polymorph listed for this composition: 0.0 kJ/mol of atoms
* spin magnetization: 0.006 μB per formula unit
* theoretical density: 7.26 g/cm³
* symmetry: Pmc2_1

17.
This record from OQMD via LeMat-Bulk describes a relaxed structure of LiNi2Hg. The functional is GGA-PBE.

Unit cell a=4.2224 b=4.2224 c=4.2224 alpha=60.00 beta=60.00 gamma=60.00
Atoms (fractional coordinates):
1 Li 0.0000 0.0000 0.0000
2 Ni 0.5000 0.5000 0.5000
3 Ni 0.7500 0.7500 0.7500
4 Hg 0.2500 0.2500 0.2500

Calculated values
* spin magnetization: 0.002 μB per formula unit
* theoretical density: 10.14 g/cm³
* calculated total energy: -3.31 eV/atom
* symmetry: F-43m

18.
This record from OQMD via LeMat-Bulk describes a relaxed structure of Zr3ZnN2. The functional is GGA-PBE.

Unit cell a=3.3103 b=3.3103 c=18.9504 alpha=90.00 beta=90.00 gamma=120.00
Atoms (fractional coordinates):
1 Zr 0.0000 0.0000 0.0000
2 Zr 0.0000 0.0000 0.5000
3 Zr 0.3333 0.6667 0.1329
4 Zr 0.3333 0.6667 0.3671
5 Zr 0.6667 0.3333 0.6329
6 Zr 0.6667 0.3333 0.8671
7 Zn 0.0000 0.0000 0.2500
8 Zn 0.0000 0.0000 0.7500
9 N 0.3333 0.6667 0.5719
10 N 0.3333 0.6667 0.9281
11 N 0.6667 0.3333 0.0719
12 N 0.6667 0.3333 0.4281

Calculated values
* spin magnetization: 0.001 μB per formula unit
* theoretical density: 6.78 g/cm³
* calculated total energy: -8.43 eV/atom
* symmetry: P6_3/mmc

19.
This record from OQMD via LeMat-Bulk describes a relaxed structure of Zr2FeB2. The functional is GGA-PBE.

Unit cell a=6.0566 b=6.0566 c=3.4192 alpha=90.00 beta=90.00 gamma=149.38
Atoms (fractional coordinates):
1 Zr 0.1316 0.8684 0.0000
2 Zr 0.8684 0.1316 0.0000
3 Fe 0.5000 0.5000 0.5000
4 B 0.2904 0.7096 0.5000
5 B 0.7096 0.2904 0.5000

Calculated values
* spin magnetization: 0.328 μB per formula unit
* theoretical density: 6.75 g/cm³
* calculated total energy: -8.34 eV/atom
* symmetry: Cmmm

20.
This record from OQMD via LeMat-Bulk describes a relaxed structure of ThHgAs. The functional is GGA-PBE.

Unit cell a=4.9158 b=4.9158 c=4.9158 alpha=60.00 beta=60.00 gamma=60.00
Atoms (fractional coordinates):
1 Th 0.0000 0.0000 0.0000
2 Hg 0.5000 0.5000 0.5000
3 As 0.7500 0.7500 0.7500

Calculated values
* energy relative to the lowest polymorph listed for this composition: 2.7 kJ/mol of atoms
* spin magnetization: 0.007 μB per formula unit
* theoretical density: 10.03 g/cm³
* symmetry: F-43m

21.
This record from OQMD via LeMat-Bulk describes a relaxed structure of Hf3Zr3GaSb2. The functional is GGA-PBE.

Unit cell a=7.5889 b=7.5889 c=3.9119 alpha=90.00 beta=90.00 gamma=120.00
Atoms (fractional coordinates):
1 Hf 0.0000 0.2429 0.0000
2 Hf 0.2429 0.0000 0.0000
3 Hf 0.7571 0.7571 0.0000
4 Zr 0.0000 0.5981 0.5000
5 Zr 0.4019 0.4019 0.5000
6 Zr 0.5981 0.0000 0.5000
7 Ga 0.0000 0.0000 0.5000
8 Sb 0.3333 0.6667 0.0000
9 Sb 0.6667 0.3333 0.0000

Calculated values
* energy relative to the lowest polymorph listed for this composition: 0.0 kJ/mol of atoms
* spin magnetization: 0.012 μB per formula unit
* theoretical density: 9.55 g/cm³
* symmetry: P-62m

22.
This record from OQMD via LeMat-Bulk describes a relaxed structure of Hf2GaAu2. The functional is GGA-PBE.

Unit cell a=6.5914 b=6.5914 c=6.5914 alpha=140.56 beta=140.56 gamma=57.00
Atoms (fractional coordinates):
1 Hf 0.2500 0.7500 0.5000
2 Hf 0.7500 0.2500 0.5000
3 Ga 0.0000 0.0000 0.0000
4 Au 0.3885 0.3885 0.0000
5 Au 0.6115 0.6115 0.0000

Calculated values
* spin magnetization: 0.281 μB per formula unit
* theoretical density: 11.89 g/cm³
* calculated total energy: -5.85 eV/atom
* symmetry: I4/mmm

23.
This record from OQMD via LeMat-Bulk describes a relaxed structure of NaNdNO. The functional is GGA-PBE.

Unit cell a=3.8903 b=3.8903 c=8.2844 alpha=90.00 beta=90.00 gamma=90.00
Atoms (fractional coordinates):
1 Na 0.2500 0.7500 0.0000
2 Na 0.7500 0.2500 0.0000
3 Nd 0.2500 0.2500 0.3502
4 Nd 0.7500 0.7500 0.6498
5 N 0.2500 0.2500 0.8230
6 N 0.7500 0.7500 0.1770
7 O 0.2500 0.7500 0.5000
8 O 0.7500 0.2500 0.5000

Calculated values
* energy relative to the lowest polymorph listed for this composition: 19.8 kJ/mol of atoms
* spin magnetization: 1.001 μB per formula unit
* theoretical density: 5.22 g/cm³
* symmetry: P4/nmm

24.
This record from OQMD via LeMat-Bulk describes a relaxed structure of LiCoReSi. The functional is GGA-PBE.

Unit cell a=4.0390 b=4.0390 c=4.0390 alpha=60.00 beta=60.00 gamma=60.00
Atoms (fractional coordinates):
1 Li 0.0000 0.0000 0.0000
2 Co 0.7500 0.7500 0.7500
3 Re 0.2500 0.2500 0.2500
4 Si 0.5000 0.5000 0.5000

Calculated values
* energy relative to the lowest polymorph listed for this composition: 0.0 kJ/mol of atoms
* spin magnetization: 0.512 μB per formula unit
* theoretical density: 9.99 g/cm³
* symmetry: F-43m